The following is a PBE calculation of a geometry-optimized Ac8Ir3Se4S structure, from the Alexandria database.

Unit cell a=8.7439 b=8.7439 c=22.7767 alpha=90.00 beta=90.00 gamma=120.00
Space group R-3m (No. 166, hexagonal axes)
Asymmetric unit:
Ac  0.0000  0.0000  0.2411 (multiplicity 6)
Ac  0.0100  0.5050  0.7584 (multiplicity 18)
Ir  0.0000  0.5000  0.5000 (multiplicity 9)
Se  0.0000  0.0000  0.0000 (multiplicity 3)
Se  0.0000  0.5000  0.0000 (multiplicity 9)
S  0.0000  0.0000  0.5000 (multiplicity 3)

Values from the calculation:
**E_tot**: -100.56 eV/f.u.
**Raw formation energy**: -1.440 eV per atom